1.
Density functional theory data (PBE) for an optimized crystal structure of Er2Al5Ni5.

**ΔE_f**: -0.633 eV/atom
**N(E_F)**: 23.48 states/eV per cell
**Theoretical density**: 6.86 g/cm3

Cell: 4.0519 8.8722 15.4035 Å, 89.79 90.00 90.00°
Closest atoms and distances in Å follow each position.
Element x y z (fractional)
Ni 0.5000 0.2256 0.4046  4 Al 2.42-2.45, 2 Ni 2.50
Ni 0.5000 0.4938 0.3150  4 Al 2.41-2.45, 2 Ni 2.51
Ni 0.5000 0.7253 0.9061  4 Al 2.41-2.45, 2 Ni 2.51
Ni 0.0000 0.6492 0.3505  4 Ni 2.51-2.53, 4 Al 2.53-2.63
Ni 0.0000 0.6953 0.0011  4 Ni 2.51-2.53, 4 Al 2.55-2.62
Ni 0.5000 0.2743 0.9112  6 Al 2.46-2.50, 1 Ni 2.75
Ni 0.5000 0.0009 0.8187  6 Al 2.45-2.51
Ni 0.5000 0.5019 0.6793  6 Al 2.46-2.50
Ni 0.5000 0.7823 0.4113  4 Al 2.39-2.47, 2 Ni 2.53
Ni 0.5000 0.7218 0.0978  4 Al 2.41-2.47, 2 Ni 2.53
Ni 0.0000 0.1985 0.4990  4 Ni 2.50-2.51, 4 Al 2.56-2.62
Ni 0.5000 0.2724 0.0895  6 Al 2.45-2.50, 1 Ni 2.75
Ni 0.5000 0.9941 0.1834  6 Al 2.46-2.50
Ni 0.5000 0.2295 0.5936  4 Al 2.40-2.44, 2 Ni 2.51
Ni 0.5000 0.7746 0.5877  6 Al 2.47-2.49, 1 Ni 2.72
Al 0.0000 0.1493 0.8515  4 Ni 2.47-2.49, 4 Al 2.66-2.71
Al 0.5000 0.2472 0.2482  4 Ni 2.42-2.46, 2 Al 2.70
Al 0.0000 0.2995 0.0011  4 Ni 2.45-2.46, 4 Al 2.65-2.75
Al 0.0000 0.7862 0.4941  5 Ni 2.39-2.53, 1 Al 2.65
Al 0.5000 0.5085 0.0010  6 Ni 2.41-2.62
Al 0.0000 0.8493 0.8594  5 Ni 2.41-2.57, 1 Al 2.66
Al 0.0000 0.3590 0.3594  6 Ni 2.45-2.58
Al 0.0000 0.3514 0.6393  5 Ni 2.40-2.56, 1 Al 2.66
Al 0.5000 0.7542 0.7479  4 Ni 2.45-2.48, 2 Al 2.71
Al 0.5000 0.7472 0.2574  6 Ni 2.39-2.63
Al 0.0000 0.6508 0.6480  4 Ni 2.47-2.48, 4 Al 2.65-2.71
Al 0.0000 0.1461 0.1488  4 Ni 2.49, 4 Al 2.65-2.70
Al 0.5000 0.2546 0.7513  4 Ni 2.44-2.48, 2 Al 2.71
Al 0.5000 0.0113 0.5018  6 Ni 2.40-2.62
Al 0.0000 0.8467 0.1416  5 Ni 2.41-2.55, 1 Al 2.66
Er 0.5000 0.9894 0.0012  6 Ni 2.77-2.88
Er 0.0000 0.0050 0.6635  7 Ni 3.04-3.13, 11 Al 3.10-3.31
Er 0.0000 0.5033 0.1696  8 Ni 3.01-3.14, 10 Al 3.08-3.29
Er 0.0000 0.0009 0.3368  8 Ni 3.03-3.13, 10 Al 3.08-3.31
Er 0.0000 0.5041 0.8351  7 Ni 3.03-3.14, 11 Al 3.09-3.31
Er 0.5000 0.4968 0.4944  6 Ni 2.76-2.86



2.
Density functional theory data (PBE) for an optimized crystal structure of Er3Al5Ni.

**ΔE_f**: -0.561 eV/atom
**N(E_F)**: 3.41 states/eV per cell
**Theoretical density**: 6.51 g/cm3

Cell: 4.2898 6.9094 6.9094 Å, 120.00 90.00 90.00°
Closest atoms and distances in Å follow each position.
Element x y z (fractional)
Al 0.5000 0.0000 0.7695  2 Ni 2.67, 4 Al 2.73-2.76
Al 0.5000 0.3333 0.6667  3 Al 2.73, 6 Er 3.00
Al 0.5000 0.7695 0.0000  2 Ni 2.67, 4 Al 2.73-2.76
Al 0.5000 0.6667 0.3333  3 Al 2.73, 6 Er 3.00
Al 0.5000 0.2305 0.2305  2 Ni 2.67, 4 Al 2.73-2.76
Er 0.0000 0.5955 0.5955  1 Ni 2.79, 4 Al 3.00
Er 0.0000 0.0000 0.4045  1 Ni 2.79, 4 Al 3.00
Er 0.0000 0.4045 0.0000  1 Ni 2.79, 4 Al 3.00
Ni 0.0000 0.0000 0.0000  6 Al 2.67, 3 Er 2.79